! GeSb2PdI PBE optimized geometry; values from VASP
! **Volume**: 31.65 Å³ per atom
! **Magnetic moment**: 0.000 μB per atom
! **Relative energy among the computed polymorphs**: 1.92 eV/f.u.
! **Formation energy (no corrections)**: 0.83 eV per atom
&SYSTEM
  ibrav = 0, nat = 5, ntyp = 4
/
ATOMIC_SPECIES
I 126.90 I.upf
Sb 121.76 Sb.upf
Ge 72.64 Ge.upf
Pd 106.42 Pd.upf
CELL_PARAMETERS angstrom
5.3524 0.0000 0.0000
0.0000 5.3524 0.0000
0.0000 0.0000 5.5234
ATOMIC_POSITIONS crystal
I 0.0000 0.0000 0.5000
Sb 0.0000 0.5000 0.0000
Sb 0.5000 0.0000 0.0000
Ge 0.0000 0.0000 0.0000
Pd 0.5000 0.5000 0.5000

! Pm4Er2Tl PBE optimized geometry; values from VASP
! **Formation energy**: 107 meV/atom
! **Volume**: 33.39 Å³ per atom
! **Magnetic moment**: 0.000 μB per atom
&SYSTEM
  ibrav = 0, nat = 14, ntyp = 3
/
ATOMIC_SPECIES
Pm 145.00 Pm.upf
Er 167.26 Er.upf
Tl 204.38 Tl.upf
CELL_PARAMETERS angstrom
7.0094 0.0000 0.0000
3.5047 8.1030 -1.0815
3.5047 1.6151 8.0137
ATOMIC_POSITIONS crystal
Pm 0.1574 0.3590 0.3262
Pm 0.1574 0.8262 0.8590
Pm 0.2348 0.2388 0.7388
Pm 0.7876 0.2388 0.7388
Pm 0.2124 0.7612 0.2612
Pm 0.8426 0.1738 0.1410
Pm 0.7652 0.7612 0.2612
Pm 0.8426 0.6410 0.6738
Er 0.2822 0.9678 0.4678
Er 0.5000 0.0000 0.0000
Er 0.5000 0.5000 0.5000
Er 0.7178 0.0322 0.5322
Tl 0.0000 0.5000 0.0000
Tl 0.5000 0.5000 0.0000

! NiP2Cl PBE optimized geometry; values from VASP
! **Volume**: 16.22 Å³ per atom
! **Magnetic moment**: 0.000 μB per atom
! **Relative energy among the computed polymorphs**: 1.75 eV/f.u.
! **Formation energy (no corrections)**: 0.23 eV per atom
&SYSTEM
  ibrav = 0, nat = 4, ntyp = 3
/
ATOMIC_SPECIES
Cl 35.45 Cl.upf
Ni 58.69 Ni.upf
P 30.97 P.upf
CELL_PARAMETERS angstrom
-1.3464 -1.4853 2.3992
1.4902 -2.7469 -0.8644
4.9705 1.5221 3.7316
ATOMIC_POSITIONS crystal
Cl 0.5000 0.5000 0.2500
Ni 0.5000 0.5000 0.7500
P 0.0000 0.0000 0.9204
P 0.0000 0.0000 0.5796

! ErCo4Si12 PBE optimized geometry; values from VASP
! **Volume**: 15.08 Å³ per atom
! **Magnetic moment**: 0.000 μB per atom
! **Formation energy (no corrections)**: -0.16 eV per atom
&SYSTEM
  ibrav = 0, nat = 17, ntyp = 3
/
ATOMIC_SPECIES
Er 167.26 Er.upf
Co 58.93 Co.upf
Si 28.09 Si.upf
CELL_PARAMETERS angstrom
-2.2219 -5.6081 -3.4144
6.0494 2.0827 -2.6670
0.8435 -1.5584 6.7012
ATOMIC_POSITIONS crystal
Er 0.0000 0.0000 0.0000
Co 0.0000 0.5000 0.0000
Co 0.5000 0.0000 0.0000
Co 0.5000 0.5000 0.5000
Co 0.0000 0.0000 0.5000
Si 0.8344 0.3473 0.1817
Si 0.3473 0.5129 0.1656
Si 0.8183 0.1656 0.6527
Si 0.3473 0.1817 0.8344
Si 0.1817 0.8344 0.3473
Si 0.6527 0.4871 0.8344
Si 0.5129 0.1656 0.3473
Si 0.4871 0.8344 0.6527
Si 0.6527 0.8183 0.1656
Si 0.8344 0.6527 0.4871
Si 0.1656 0.3473 0.5129
Si 0.1656 0.6527 0.8183

! HfZr2ZnO PBE optimized geometry; values from VASP
! **Volume**: 17.41 Å³ per atom
! **Magnetic moment**: 0.000 μB per atom
! **Formation energy (no corrections)**: -1.05 eV per atom
&SYSTEM
  ibrav = 0, nat = 5, ntyp = 4
/
ATOMIC_SPECIES
Zn 65.41 Zn.upf
Hf 178.49 Hf.upf
O 16.00 O.upf
Zr 91.22 Zr.upf
CELL_PARAMETERS angstrom
4.5287 0.0000 0.0000
0.0000 4.5287 0.0000
0.0000 0.0000 4.2452
ATOMIC_POSITIONS crystal
Zn 0.5000 0.5000 0.5000
Hf 0.0000 0.0000 0.5000
O 0.0000 0.0000 0.0000
Zr 0.0000 0.5000 0.0000
Zr 0.5000 0.0000 0.0000

! Pr2PaN PBE optimized geometry; values from VASP
! **Volume**: 25.10 Å³ per atom
! **Magnetic moment**: 0.106 μB per atom
! **Formation energy (no corrections)**: -0.29 eV per atom
&SYSTEM
  ibrav = 0, nat = 4, ntyp = 3
/
ATOMIC_SPECIES
Pr 140.91 Pr.upf
Pa 231.04 Pa.upf
N 14.01 N.upf
CELL_PARAMETERS angstrom
3.4416 0.0000 0.0000
1.7208 2.9805 0.0000
1.7208 0.9935 9.7871
ATOMIC_POSITIONS crystal
Pr 0.1162 0.1162 0.6514
Pr 0.8838 0.8838 0.3486
Pa 0.0000 0.0000 0.0000
N 0.5000 0.5000 0.5000